Material: Zr2ScSi
Method: DFT, PBE
State: relaxed

Properties
Spin magnetization, μB per atom: 0.0000
Formation energy from raw total energies, kJ/mol of atoms: -23

Geometry as extended XYZ:
```
4
Lattice="3.102 0.050 0.000 -0.057 3.102 0.000 0.000 0.000 8.622" Properties=species:S:1:pos:R:3 pbc="T T T"
Sc 0.000 0.000 4.649
Zr 0.000 0.000 8.355
Zr 1.523 1.576 2.084
Si 1.523 1.576 6.468
```